A plane-wave DFT calculation with PBE was carried out for RbTl7Hg5 after structural relaxation.

a b c (Å): 6.145 8.677 8.677
angles (deg): 83.42 69.26 69.26
Positions (direct):
Hg1 0.999 0.504 0.997
Hg2 0.501 0.997 0.504
Tl1 0.500 0.214 0.786
Rb1 0.006 0.994 0.994
Hg3 0.712 0.788 0.788
Tl2 0.285 0.215 0.215
Tl3 0.500 0.786 0.214
Tl4 0.355 0.645 0.645
Hg4 0.999 0.997 0.504
Tl5 0.000 0.359 0.641
Tl6 0.643 0.357 0.357
Hg5 0.501 0.504 0.997
Tl7 0.000 0.641 0.359

Calculated values
Total DFT energy (no corrections) ... -1.51 eV/atom
ΔE_f ... -41.5 meV/atom

---

A plane-wave DFT calculation with PBE was carried out for HfNbBr after structural relaxation.

a b c (Å): 3.269 4.980 9.295
angles (deg): 57.60 93.92 90.00
Positions (direct):
Nb1 0.117 0.809 0.441
Hf1 0.382 0.494 0.256
Nb2 0.883 0.191 0.559
Br1 0.741 0.839 0.911
Hf2 0.618 0.506 0.744
Br2 0.259 0.161 0.089

Calculated values
Formation energy without anion corrections ... -0.154 eV/atom
Total DFT energy (no corrections) ... -7.39 eV/atom

---

A plane-wave DFT calculation with PBE was carried out for RbAlSn after structural relaxation.

a b c (Å): 13.222 13.222 9.668
angles (deg): 46.86 46.86 90.00
Positions (direct):
Sn1 0.613 0.000 0.000
Rb1 0.298 0.500 0.000
Rb2 0.500 0.298 0.000
Rb3 0.500 0.702 0.000
Rb4 0.702 0.500 0.000
Al1 0.779 0.221 0.000
Al2 0.221 0.779 0.000
Al3 0.221 0.221 0.000
Sn2 0.000 0.387 0.000
Sn3 0.000 0.613 0.000
Sn4 0.387 0.000 0.000
Al4 0.779 0.779 0.000

Calculated values
Total DFT energy (no corrections) ... -2.70 eV/atom
ΔE_f ... 207.8 meV/atom

---

A plane-wave DFT calculation with PBE was carried out for ReSe4I after structural relaxation.

a b c (Å): 8.293 8.293 6.314
angles (deg): 79.03 79.03 119.09
Positions (direct):
Se1 0.162 0.297 0.386
Se2 0.201 0.920 0.469
I1 0.599 0.401 0.250
Se3 0.799 0.080 0.531
Se4 0.080 0.799 0.031
I2 0.401 0.599 0.750
Se5 0.920 0.201 0.969
Re1 0.000 0.000 0.750
Se6 0.297 0.162 0.886
Se7 0.703 0.838 0.114
Re2 0.000 0.000 0.250
Se8 0.838 0.703 0.614

Calculated values
Formation energy without anion corrections ... -0.057 eV/atom
Total DFT energy (no corrections) ... -4.71 eV/atom

---

A plane-wave DFT calculation with PBE was carried out for La4Sm2DyTm after structural relaxation.

a b c (Å): 5.251 5.214 11.369
angles (deg): 62.66 90.00 90.00
Positions (direct):
Dy1 0.500 0.500 0.000
Sm1 0.000 0.000 0.000
Sm2 0.500 0.000 0.500
La1 0.000 0.752 0.749
La2 0.000 0.248 0.251
La3 0.500 0.250 0.750
La4 0.500 0.750 0.250
Tm1 0.000 0.500 0.500

Calculated values
Total DFT energy (no corrections) ... -4.76 eV/atom
ΔE_f ... 17.8 meV/atom

---

> Which of these has the highest total DFT energy (no corrections)?

RbTl7Hg5

---

> What is the total DFT energy (no corrections) in the first record?

-1.51 eV/atom